Record 1
# Ca2BeSi2, relaxed, DFT PBE
data_Ca2BeSi2
_cell_length_a 10.941
_cell_length_b 4.048
_cell_length_c 10.356
_cell_angle_alpha 90.00
_cell_angle_beta 114.55
_cell_angle_gamma 90.00
_symmetry_space_group_name_H-M 'C 1 2/m 1'
_symmetry_Int_Tables_number 12
_symmetry_space_group_name_Hall '-C 2y'
loop_
_atom_site_label
_atom_site_type_symbol
_atom_site_fract_x
_atom_site_fract_y
_atom_site_fract_z
Ca1 Ca 0.109 0.000 0.403
Ca2 Ca 0.211 0.500 0.147
Be1 Be 0.057 0.500 0.814
Si1 Si 0.036 0.000 0.906
Si2 Si 0.102 0.500 0.614
# E_form (uncorrected) ... -368 meV per atom
# V ... 20.86 A^3/atom
# Polymorph energy (0 for the lowest one) ... 0.00 eV per formula unit
# Raw total energy ... -81.7 eV per cell



Record 2
# Mn4Si, relaxed, DFT PBE
data_Mn4Si
_cell_length_a 5.413
_cell_length_b 5.413
_cell_length_c 5.413
_cell_angle_alpha 90.00
_cell_angle_beta 90.00
_cell_angle_gamma 90.00
_symmetry_space_group_name_H-M 'I m -3 m'
_symmetry_Int_Tables_number 229
_symmetry_space_group_name_Hall '-I 4 2 3'
loop_
_atom_site_label
_atom_site_type_symbol
_atom_site_fract_x
_atom_site_fract_y
_atom_site_fract_z
Mn1 Mn 0.250 0.250 0.250
Si1 Si 0.000 0.000 0.000
# E_form (uncorrected) ... 707 meV per atom
# V ... 15.86 A^3/atom
# Polymorph energy (0 for the lowest one) ... 0.00 eV per formula unit
# Raw total energy ... -77.1 eV per cell